Record 1
Computed, not measured: a relaxed TaIn2Se crystal at the PBE-GGA level of DFT. Values from VASP.

Properties
Its space group is R-3m. The uncorrected formation energy is 0.25 eV/atom.

Geometry as Quantum ESPRESSO input:
```
&SYSTEM
  ibrav = 0, nat = 4, ntyp = 3
/
ATOMIC_SPECIES
Ta 180.95 Ta.upf
In 114.82 In.upf
Se 78.96 Se.upf
CELL_PARAMETERS angstrom
1.7027 0.9830 8.6194
-1.7027 0.9830 8.6194
0.0000 -1.9661 8.6194
ATOMIC_POSITIONS crystal
Ta 0.0000 0.0000 0.0000
In 0.2464 0.2464 0.2464
In 0.7536 0.7536 0.7536
Se 0.5000 0.5000 0.5000
```

---

Record 2
Computed, not measured: a relaxed TaIn2Se crystal at the PBE-GGA level of DFT. Values from VASP.

Properties
Its space group is F-43m. The uncorrected formation energy is 0.53 eV/atom.

Geometry as Quantum ESPRESSO input:
```
&SYSTEM
  ibrav = 0, nat = 4, ntyp = 3
/
ATOMIC_SPECIES
Ta 180.95 Ta.upf
In 114.82 In.upf
Se 78.96 Se.upf
CELL_PARAMETERS angstrom
0.0000 3.5048 3.5048
3.5048 0.0000 3.5048
3.5048 3.5048 0.0000
ATOMIC_POSITIONS crystal
Ta 0.0000 0.0000 0.0000
In 0.2500 0.2500 0.2500
In 0.5000 0.5000 0.5000
Se 0.7500 0.7500 0.7500
```

---

Record 3
Computed, not measured: a relaxed Ta2InTeSe crystal at the PBE-GGA level of DFT. Values from VASP.

Properties
Its space group is P4/mmm. The uncorrected formation energy is 1.00 eV/atom.

Geometry as Quantum ESPRESSO input:
```
&SYSTEM
  ibrav = 0, nat = 5, ntyp = 4
/
ATOMIC_SPECIES
Ta 180.95 Ta.upf
In 114.82 In.upf
Te 127.60 Te.upf
Se 78.96 Se.upf
CELL_PARAMETERS angstrom
4.7966 0.0000 0.0000
0.0000 4.7966 0.0000
0.0000 0.0000 5.5857
ATOMIC_POSITIONS crystal
Ta 0.0000 0.5000 0.0000
Ta 0.5000 0.0000 0.0000
In 0.0000 0.0000 0.5000
Te 0.5000 0.5000 0.5000
Se 0.0000 0.0000 0.0000
```

---

Which electronic total energy belongs to each record? In order, -4.950 -4.669 -5.615 eV/atom.